1.
4
Lattice="-0.7234 2.2188 -1.4701 -0.7352 -0.2772 -2.6439 -8.9612 -0.4762 1.1032" Properties=species:S:1:pos:R:3 comment="PBE NiPdPt2, optimized geometry" spacegroup="No. 160" pbc="T T T"
Pt -6.9859 -0.2143 0.5265
Pt -2.4607 0.3855 -0.7948
Ni -9.9270 0.8191 -1.6414
Pd -5.2174 0.7317 -1.5032

---

2.
7
Lattice="-0.9763 0.5617 -2.4611 -0.9426 -2.5189 -0.2010 -11.0253 3.5927 6.6818" Properties=species:S:1:pos:R:3 comment="PBE Ni3Pd2Pt2, optimized geometry" spacegroup="No. 65" relative_energy_mev_per_atom=0 pbc="T T T"
Pd -5.6967 0.6153 0.9119
Pd -7.2475 1.0204 3.1078
Ni -10.6207 2.1553 4.7049
Ni -2.3235 -0.5196 -0.6852
Ni 0.0000 0.0000 0.0000
Pt -2.9255 0.9843 1.3851
Pt -9.0761 3.1702 2.8355

---

3.
12
Lattice="3.7880 0.0000 0.9313 1.6449 5.7604 1.4787 -0.0277 0.5344 8.2815" Properties=species:S:1:pos:R:3 comment="PBE Ni2Pd5Pt5, optimized geometry" spacegroup="No. 12" pbc="T T T"
Pt 3.5951 4.3582 9.8849
Pt 3.0819 5.3504 3.8031
Pt 2.3233 0.9445 6.8885
Pt 1.8101 1.9366 0.8067
Pt 2.7026 3.1474 5.3458
Pd 4.5157 5.0334 6.1407
Pd 0.8896 1.2614 4.5508
Pd 0.0000 0.0000 0.0000
Pd 2.1648 4.6804 7.5334
Pd 3.2405 1.6144 3.1582
Ni 4.1320 2.7914 7.7013
Ni 1.2733 3.5035 2.9902

---

Results for final energy: -0.213; -0.208; -0.209 (in Ha/atom, following the order of the records).
Results for M_tot: 0.43; 0.43; 0.37 (in μB per atom, following the order of the records).
Results for formation energy from the elements: -43; 19; -30 (in meV per atom, following the order of the records).